(1)
# TbPu3

TbPu3 after structural relaxation (PBE, Alexandria via LeMat-Bulk).

Output
E_tot = -11.63 eV per atom
crystal system = hexagonal
relative energy among the computed polymorphs = 18.4 meV/atom
formation energy from the elements = 0.28 eV/atom

Cell: 6.908 6.908 5.497 Å, 90.00 90.00 120.00°
Fractional coordinates of all 8 atoms:
Tb1 0.333 0.667 0.250
Tb2 0.667 0.333 0.750
Pu1 0.163 0.326 0.750
Pu2 0.163 0.837 0.750
Pu3 0.326 0.163 0.250
Pu4 0.674 0.837 0.750
Pu5 0.837 0.163 0.250
Pu6 0.837 0.674 0.250


(2)
# Tb8Pu

Tb8Pu after structural relaxation (PBE, Alexandria via LeMat-Bulk).

Output
E_tot = -5.66 eV per atom
crystal system = tetragonal
formation energy from the elements = 0.05 eV/atom

Cell: 7.917 7.917 7.917 Å, 95.74 95.74 143.13°
Fractional coordinates of all 9 atoms:
Tb1 0.000 0.331 0.331
Tb2 0.000 0.669 0.669
Tb3 0.331 0.000 0.331
Tb4 0.335 0.335 0.671
Tb5 0.335 0.665 0.000
Tb6 0.665 0.335 0.000
Tb7 0.665 0.665 0.329
Tb8 0.669 0.000 0.669
Pu1 0.000 0.000 0.000


(3)
# Tb2Pu

Tb2Pu after structural relaxation (PBE, Alexandria via LeMat-Bulk).

Output
E_tot = -7.75 eV per atom
crystal system = tetragonal
formation energy from the elements = 0.11 eV/atom

Cell: 3.509 3.509 14.839 Å, 90.00 90.00 90.00°
Fractional coordinates of all 6 atoms:
Tb1 0.000 0.000 0.164
Tb2 0.000 0.000 0.836
Tb3 0.500 0.500 0.336
Tb4 0.500 0.500 0.664
Pu1 0.000 0.000 0.500
Pu2 0.500 0.500 0.000


(4)
# Tb5Pu

Tb5Pu after structural relaxation (PBE, Alexandria via LeMat-Bulk).

Output
E_tot = -6.17 eV per atom
crystal system = orthorhombic
formation energy from the elements = 0.07 eV/atom

Cell: 5.002 14.901 5.010 Å, 90.00 90.00 90.00°
Fractional coordinates of all 12 atoms:
Tb1 0.000 0.000 0.000
Tb2 0.000 0.165 0.500
Tb3 0.000 0.336 0.000
Tb4 0.000 0.664 0.000
Tb5 0.000 0.835 0.500
Tb6 0.500 0.164 0.000
Tb7 0.500 0.335 0.500
Tb8 0.500 0.500 0.000
Tb9 0.500 0.665 0.500
Tb10 0.500 0.836 0.000
Pu1 0.000 0.500 0.500
Pu2 0.500 0.000 0.500


(5)
# TbPu3

TbPu3 after structural relaxation (PBE, Alexandria via LeMat-Bulk).

Output
E_tot = -11.64 eV per atom
crystal system = orthorhombic
relative energy among the computed polymorphs = 5.0 meV/atom
formation energy from the elements = 0.26 eV/atom

Cell: 3.794 4.956 5.330 Å, 90.00 90.00 90.00°
Fractional coordinates of all 4 atoms:
Tb1 0.000 0.000 0.000
Pu1 0.000 0.500 0.476
Pu2 0.500 0.000 0.488
Pu3 0.500 0.500 0.775


(6)
# TbPu2

TbPu2 after structural relaxation (PBE, Alexandria via LeMat-Bulk).

Output
E_tot = -10.87 eV per atom
crystal system = cubic
formation energy from the elements = 0.23 eV/atom

Cell: 6.164 6.164 6.164 Å, 60.00 60.00 60.00°
Fractional coordinates of all 6 atoms:
Tb1 0.125 0.125 0.125
Tb2 0.875 0.875 0.875
Pu1 0.000 0.500 0.500
Pu2 0.500 0.000 0.500
Pu3 0.500 0.500 0.000
Pu4 0.500 0.500 0.500